Crystalline AcCdInAu2 at its relaxed geometry. Source: Alexandria, functional PBE.

Properties
Total DFT energy (no corrections)   -3.35 eV/atom
Energy of formation from the pure elements   -487 meV per atom
Fermi-level density of states   0.49 states/eV/atom

Cell lengths 6.192, 6.080, 7.622 Å; angles 113.51, 90.00, 90.00 degrees
Fractional positions:
Ac  0.239  0.750  0.500
Ac  0.761  0.250  0.500
Cd  0.500  0.750  0.000
Cd  0.500  0.250  0.000
In  0.000  0.000  0.000
In  0.000  0.500  0.000
Au  0.716  0.849  0.698
Au  0.716  0.651  0.302
Au  0.284  0.349  0.698
Au  0.284  0.151  0.302